Density functional theory data (GGA-PBE) for a relaxed structure of FeCo3W.

Cell and atoms, written as extended XYZ:
```
5
Lattice="4.3802 0.0000 0.0000 0.0000 4.3802 0.0000 0.0000 0.0000 4.3802" Properties=species:S:1:pos:R:3 pbc="T T T"
Co 0.0000 2.1901 0.0000
Co 0.0000 0.0000 2.1901
Co 2.1901 0.0000 0.0000
Fe 2.1901 2.1901 2.1901
W 0.0000 0.0000 0.0000
```

Computed properties:
- Density of states at the Fermi level: 3.01 states/eV per atom
- Size of the total moment: 0.7 μB/cell
- E: -32.91 eV for the cell shown
- Symmetry: Pm-3m (221)
- Energy of formation: 1964 meV per atom
- Density: 8.2 g cm⁻³



Density functional theory data (GGA-PBE) for a relaxed structure of HfTiCrCu.

Cell and atoms, written as extended XYZ:
```
4
Lattice="-2.6897 1.8184 3.0113 0.6437 -0.7918 4.3090 1.4939 3.2225 2.6443" Properties=species:S:1:pos:R:3 pbc="T T T"
Cr -0.2760 2.1245 4.9823
Hf -0.4140 3.1868 7.4734
Cu 0.0000 0.0000 0.0000
Ti -0.1380 1.0623 2.4911
```

Computed properties:
- Density of states at the Fermi level: 0.74 states/eV per atom
- Size of the total moment: 0.0 μB/cell
- E: -31.47 eV for the cell shown
- Symmetry: F-43m (216)
- Energy of formation: 25 meV per atom
- Density: 9.2 g cm⁻³



Density functional theory data (GGA-PBE) for a relaxed structure of ZrInTcRh.

Cell and atoms, written as extended XYZ:
```
4
Lattice="-2.2683 -2.5410 -0.1652 2.5908 -2.4859 2.6622 -2.1428 1.6754 3.6498" Properties=species:S:1:pos:R:3 pbc="T T T"
Zr 0.1613 -2.5134 1.2485
In -2.2055 -0.4328 1.7423
Tc 0.0000 0.0000 0.0000
Rh 0.2240 -0.4052 3.1560
```

Computed properties:
- Density of states at the Fermi level: 0.87 states/eV per atom
- Size of the total moment: 0.0 μB/cell
- E: -30.67 eV for the cell shown
- Symmetry: Pmmm (47)
- Energy of formation: -416 meV per atom
- Density: 9.7 g cm⁻³



Density functional theory data (GGA-PBE) for a relaxed structure of TlPd2W.

Cell and atoms, written as extended XYZ:
```
8
Lattice="7.3634 0.0000 0.0000 0.0000 7.3634 0.0000 3.6817 3.6817 2.8280" Properties=species:S:1:pos:R:3 pbc="T T T"
Tl 0.0000 0.0000 0.0000
Tl 7.3634 3.6817 1.4140
Pd 5.3210 1.8408 0.7070
Pd 2.0424 5.5225 0.7070
Pd 5.5225 5.7241 2.1210
Pd 9.2042 9.0027 2.1210
W 3.6817 3.6817 0.0000
W 3.6817 7.3634 1.4140
```

Computed properties:
- Density of states at the Fermi level: 1.39 states/eV per atom
- Size of the total moment: 0.0 μB/cell
- E: -46.07 eV for the cell shown
- Symmetry: I-42d (122)
- Energy of formation: 667 meV per atom
- Density: 13.0 g cm⁻³